1.
DFT (GGA-PBEsol) results for an optimized crystal structure of K4Tl.

Computed properties:
The calculation puts the density of states at the Fermi level at 0.978 states/eV per atom. The formation enthalpy at 0 K is 5 kJ per mole of atoms. Its total magnetization is 0.03 μB per formula unit.

```
K4Tl
1.0
7.255 0.000 0.000
-2.418 6.840 0.000
-2.418 -3.420 5.924
Tl K
1 4
Direct
0.000 0.000 0.000
0.500 0.000 0.000
0.500 0.500 0.500
0.000 0.500 0.000
0.000 0.000 0.500
```

***

2.
DFT (GGA-PBEsol) results for an optimized crystal structure of ZrMn2In.

Computed properties:
The calculation puts the density of states at the Fermi level at 1.316 states/eV per atom. The formation enthalpy at 0 K is 26 kJ per mole of atoms. Its total magnetization is 6.30 μB per formula unit.

```
ZrMn2In
1.0
-0.192 -4.074 2.114
2.003 -0.559 4.097
-2.579 -0.514 3.767
In Mn Zr
1 2 1
Direct
0.500 0.500 0.500
0.000 0.000 0.000
0.750 0.750 0.750
0.250 0.250 0.250
```

***

3.
DFT (GGA-PBEsol) results for an optimized crystal structure of TbGdRh2.

Computed properties:
The calculation puts the density of states at the Fermi level at 0.572 states/eV per atom. The formation enthalpy at 0 K is -74 kJ per mole of atoms. Its total magnetization is 7.04 μB per formula unit.

```
TbGdRh2
1.0
-3.150 -2.893 -2.170
0.475 -4.759 0.354
-3.123 -2.534 2.613
Rh Gd Tb
2 1 1
Direct
0.250 0.250 0.250
0.750 0.750 0.750
0.500 0.500 0.500
0.000 0.000 0.000
```

***

4.
DFT (GGA-PBEsol) results for an optimized crystal structure of Li2CaZn.

Computed properties:
The calculation puts the density of states at the Fermi level at 0.615 states/eV per atom. The formation enthalpy at 0 K is -5 kJ per mole of atoms. Its total magnetization is 0.00 μB per formula unit.

```
Li2CaZn
1.0
3.692 0.000 0.000
0.000 4.969 0.000
-1.846 -2.484 4.775
Zn Ca Li
1 1 2
Direct
0.500 0.000 0.000
0.000 0.500 0.000
0.785 0.785 0.570
0.215 0.215 0.430
```

***

5.
DFT (GGA-PBEsol) results for an optimized crystal structure of SrLaTe2.

Computed properties:
The calculation puts the formation energy from raw total energies at -37.6 kcal/mol of atoms. For the polymorph energy (0 for the lowest one), the calculation gives 6.1 meV per atom. The calculation puts the density of states at the Fermi level at 0.447 states/eV per atom. Its total magnetization is 0.00 μB per formula unit.

```
SrLaTe2
1.0
4.547 0.000 0.000
2.273 3.937 0.000
2.273 1.312 7.585
Sr Te La
1 2 1
Direct
0.000 0.000 0.000
0.751 0.751 0.746
0.249 0.249 0.254
0.500 0.500 0.500
```

***

6.
DFT (GGA-PBEsol) results for an optimized crystal structure of LiSiNO.

Computed properties:
The calculation puts the formation energy from raw total energies at -44.8 kcal/mol of atoms. The calculation puts the density of states at the Fermi level at 0.000 states/eV per atom. Its total magnetization is 0.00 μB per formula unit.

```
LiSiNO
1.0
-1.730 -3.215 3.033
0.116 -3.597 -3.747
5.920 -1.580 1.701
Si Li O N
4 4 4 4
Direct
0.989 0.080 0.879
0.489 0.920 0.121
0.989 0.580 0.121
0.489 0.420 0.879
0.000 0.597 0.614
0.500 0.403 0.386
0.000 0.097 0.386
0.500 0.903 0.614
0.407 0.541 0.654
0.907 0.459 0.346
0.407 0.041 0.346
0.907 0.959 0.654
0.354 0.108 0.913
0.854 0.892 0.087
0.354 0.608 0.087
0.854 0.392 0.913
```

***

7.
DFT (GGA-PBEsol) results for an optimized crystal structure of GaGeAs3.

Computed properties:
The calculation puts the density of states at the Fermi level at 0.800 states/eV per atom. The formation enthalpy at 0 K is 70 kJ per mole of atoms. Its total magnetization is 0.00 μB per formula unit.

```
GaGeAs3
1.0
-4.598 -1.391 -0.988
-0.854 -0.582 4.794
-1.477 4.667 0.304
As Ge Ga
3 1 1
Direct
0.000 0.500 0.000
0.000 0.000 0.500
0.500 0.000 0.000
0.000 0.000 0.000
0.500 0.500 0.500
```

***

8.
DFT (GGA-PBEsol) results for an optimized crystal structure of ThCoSi3.

Computed properties:
The calculation puts the formation energy from raw total energies at -18.1 kcal/mol of atoms. The calculation puts the density of states at the Fermi level at 0.350 states/eV per atom. Its total magnetization is 0.00 μB per formula unit.

```
ThCoSi3
1.0
4.134 0.000 0.000
0.000 4.134 0.000
-2.067 -2.067 4.690
Si Co Th
3 1 1
Direct
0.577 0.577 0.153
0.738 0.238 0.476
0.238 0.738 0.476
0.337 0.337 0.674
0.996 0.996 0.991
```